A plane-wave DFT calculation with GGA-PBE was carried out for crystalline BeNbSn3 at its relaxed geometry.

abc: 4.863 4.863 4.863
angles: 90.00 90.00 90.00
Each line ends with the local moment (μB).
Sites, in units of the cell vectors:
Be 0.000 0.000 0.000  0.05
Nb 0.500 0.500 0.500  2.18
Sn 0.000 0.500 0.000  -0.01
Sn 0.000 0.000 0.500  0.01
Sn 0.500 0.000 0.000  -0.03

Properties
- symmetry = Pm-3m
- magnetic moment (μB per atom) = 0.552
- ΔE_f (kJ per mole of atoms) = 77.1